1.
# Dy2Si3 meta-GGA SCAN PBEsol geometry
data_Dy2Si3
_space_group_name_H-M_alt 'P 1'
_space_group_IT_number 1
_space_group_name_Hall 'P 1'
_cell_length_a 3.851
_cell_length_b 3.920
_cell_length_c 13.585
_cell_angle_alpha 90.00
_cell_angle_beta 90.00
_cell_angle_gamma 90.00
loop_
_atom_site_label
_atom_site_type_symbol
_atom_site_fract_x
_atom_site_fract_y
_atom_site_fract_z
_atom_site_occupancy
Dy1 Dy 0.000 0.000 0.000 1
Dy2 Dy 0.000 0.500 0.255 1
Dy3 Dy 0.500 0.000 0.755 1
Dy4 Dy 0.500 0.500 0.500 1
Si1 Si 0.000 0.000 0.431 1
Si2 Si 0.000 0.500 0.659 1
Si3 Si 0.000 0.500 0.830 1
Si4 Si 0.500 0.000 0.159 1
Si5 Si 0.500 0.000 0.330 1
Si6 Si 0.500 0.500 0.931 1
# Fermi-level density of states: 2.8 states/eV/cell
# Theoretical density: 6.63 Mg/m³
# Crystal system: orthorhombic
# SG: No. 44
# Energy relative to the elements, uncorrected: -3.10 eV per formula unit

---

2.
# RbCoS2 meta-GGA SCAN PBEsol geometry
data_RbCoS2
_space_group_name_H-M_alt 'P 1'
_space_group_IT_number 1
_space_group_name_Hall 'P 1'
_cell_length_a 6.831
_cell_length_b 6.831
_cell_length_c 7.666
_cell_angle_alpha 90.00
_cell_angle_beta 90.00
_cell_angle_gamma 90.00
loop_
_atom_site_label
_atom_site_type_symbol
_atom_site_fract_x
_atom_site_fract_y
_atom_site_fract_z
_atom_site_occupancy
Rb1 Rb 0.000 0.000 0.000 1
Rb2 Rb 0.000 0.500 0.250 1
Rb3 Rb 0.500 0.000 0.750 1
Rb4 Rb 0.500 0.500 0.500 1
Co1 Co 0.000 0.000 0.500 1
Co2 Co 0.000 0.500 0.750 1
Co3 Co 0.500 0.000 0.250 1
Co4 Co 0.500 0.500 0.000 1
S1 S 0.114 0.250 0.625 1
S2 S 0.250 0.614 0.875 1
S3 S 0.250 0.886 0.375 1
S4 S 0.386 0.250 0.125 1
S5 S 0.614 0.750 0.125 1
S6 S 0.750 0.114 0.375 1
S7 S 0.750 0.386 0.875 1
S8 S 0.886 0.750 0.625 1
# Fermi-level density of states: 6.3 states/eV/cell
# Theoretical density: 3.87 Mg/m³
# Crystal system: tetragonal
# SG: No. 122
# Energy relative to the elements, uncorrected: -2.83 eV per formula unit

---

3.
# SiHgCl meta-GGA SCAN PBEsol geometry
data_SiHgCl
_space_group_name_H-M_alt 'P 1'
_space_group_IT_number 1
_space_group_name_Hall 'P 1'
_cell_length_a 4.705
_cell_length_b 4.705
_cell_length_c 3.202
_cell_angle_alpha 90.00
_cell_angle_beta 90.00
_cell_angle_gamma 120.00
loop_
_atom_site_label
_atom_site_type_symbol
_atom_site_fract_x
_atom_site_fract_y
_atom_site_fract_z
_atom_site_occupancy
Si1 Si 0.000 0.000 0.000 1
Hg1 Hg 0.667 0.333 0.355 1
Cl1 Cl 0.333 0.667 0.852 1
# Fermi-level density of states: 0.9 states/eV/cell
# Theoretical density: 7.15 Mg/m³
# Crystal system: trigonal
# SG: No. 156
# Energy relative to the elements, uncorrected: 0.99 eV per formula unit

---

4.
# AlCu3N3 meta-GGA SCAN PBEsol geometry
data_AlCu3N3
_space_group_name_H-M_alt 'P 1'
_space_group_IT_number 1
_space_group_name_Hall 'P 1'
_cell_length_a 4.018
_cell_length_b 4.018
_cell_length_c 4.018
_cell_angle_alpha 90.00
_cell_angle_beta 90.00
_cell_angle_gamma 90.00
loop_
_atom_site_label
_atom_site_type_symbol
_atom_site_fract_x
_atom_site_fract_y
_atom_site_fract_z
_atom_site_occupancy
Al1 Al 0.000 0.000 0.000 1
Cu1 Cu 0.000 0.500 0.500 1
Cu2 Cu 0.500 0.000 0.500 1
Cu3 Cu 0.500 0.500 0.000 1
N1 N 0.000 0.000 0.500 1
N2 N 0.000 0.500 0.000 1
N3 N 0.500 0.000 0.000 1
# Fermi-level density of states: 3.1 states/eV/cell
# Theoretical density: 6.65 Mg/m³
# Crystal system: cubic
# SG: No. 221
# Energy relative to the elements, uncorrected: -0.49 eV per formula unit

---

5.
# MgNiOs2I meta-GGA SCAN PBEsol geometry
data_MgNiOs2I
_space_group_name_H-M_alt 'P 1'
_space_group_IT_number 1
_space_group_name_Hall 'P 1'
_cell_length_a 4.613
_cell_length_b 4.613
_cell_length_c 4.203
_cell_angle_alpha 90.00
_cell_angle_beta 90.00
_cell_angle_gamma 90.00
loop_
_atom_site_label
_atom_site_type_symbol
_atom_site_fract_x
_atom_site_fract_y
_atom_site_fract_z
_atom_site_occupancy
Mg1 Mg 0.000 0.000 0.000 1
Ni1 Ni 0.000 0.000 0.500 1
Os1 Os 0.000 0.500 0.000 1
Os2 Os 0.500 0.000 0.000 1
I1 I 0.500 0.500 0.500 1
# Fermi-level density of states: 3.8 states/eV/cell
# Theoretical density: 10.96 Mg/m³
# Crystal system: tetragonal
# SG: No. 123
# Energy relative to the elements, uncorrected: 11.15 eV per formula unit

---

6.
# Rb2HoCl5 meta-GGA SCAN PBEsol geometry
data_Rb2HoCl5
_space_group_name_H-M_alt 'P 1'
_space_group_IT_number 1
_space_group_name_Hall 'P 1'
_cell_length_a 9.305
_cell_length_b 7.228
_cell_length_c 14.554
_cell_angle_alpha 90.00
_cell_angle_beta 90.00
_cell_angle_gamma 90.00
loop_
_atom_site_label
_atom_site_type_symbol
_atom_site_fract_x
_atom_site_fract_y
_atom_site_fract_z
_atom_site_occupancy
Rb1 Rb 0.032 0.250 0.208 1
Rb2 Rb 0.172 0.750 0.414 1
Rb3 Rb 0.328 0.250 0.914 1
Rb4 Rb 0.468 0.750 0.708 1
Rb5 Rb 0.532 0.250 0.292 1
Rb6 Rb 0.672 0.750 0.086 1
Rb7 Rb 0.828 0.250 0.586 1
Rb8 Rb 0.968 0.750 0.792 1
Ho1 Ho 0.190 0.750 0.063 1
Ho2 Ho 0.310 0.250 0.563 1
Ho3 Ho 0.690 0.750 0.437 1
Ho4 Ho 0.810 0.250 0.937 1
Cl1 Cl 0.000 0.000 0.000 1
Cl2 Cl 0.000 0.500 0.000 1
Cl3 Cl 0.032 0.750 0.207 1
Cl4 Cl 0.148 0.512 0.613 1
Cl5 Cl 0.148 0.988 0.613 1
Cl6 Cl 0.219 0.250 0.394 1
Cl7 Cl 0.281 0.750 0.894 1
Cl8 Cl 0.352 0.012 0.113 1
Cl9 Cl 0.352 0.488 0.113 1
Cl10 Cl 0.468 0.250 0.707 1
Cl11 Cl 0.500 0.000 0.500 1
Cl12 Cl 0.500 0.500 0.500 1
Cl13 Cl 0.532 0.750 0.293 1
Cl14 Cl 0.648 0.512 0.887 1
Cl15 Cl 0.648 0.988 0.887 1
Cl16 Cl 0.719 0.250 0.106 1
Cl17 Cl 0.781 0.750 0.606 1
Cl18 Cl 0.852 0.012 0.387 1
Cl19 Cl 0.852 0.488 0.387 1
Cl20 Cl 0.968 0.250 0.793 1
# Fermi-level density of states: 0.0 states/eV/cell
# Theoretical density: 3.48 Mg/m³
# Crystal system: orthorhombic
# SG: No. 62
# Energy relative to the elements, uncorrected: -19.29 eV per formula unit

---

7.
# ZnPt2Rh meta-GGA SCAN PBEsol geometry
data_ZnPt2Rh
_space_group_name_H-M_alt 'P 1'
_space_group_IT_number 1
_space_group_name_Hall 'P 1'
_cell_length_a 2.733
_cell_length_b 3.825
_cell_length_c 5.426
_cell_angle_alpha 90.00
_cell_angle_beta 90.00
_cell_angle_gamma 90.00
loop_
_atom_site_label
_atom_site_type_symbol
_atom_site_fract_x
_atom_site_fract_y
_atom_site_fract_z
_atom_site_occupancy
Zn1 Zn 0.000 0.000 0.000 1
Pt1 Pt 0.500 0.500 0.250 1
Pt2 Pt 0.500 0.500 0.750 1
Rh1 Rh 0.000 0.000 0.500 1
# Fermi-level density of states: 4.5 states/eV/cell
# Theoretical density: 16.35 Mg/m³
# Crystal system: orthorhombic
# SG: No. 47
# Energy of formation: -0.266 eV/atom

---

8.
# TlSe2I2 meta-GGA SCAN PBEsol geometry
data_TlSe2I2
_space_group_name_H-M_alt 'P 1'
_space_group_IT_number 1
_space_group_name_Hall 'P 1'
_cell_length_a 3.717
_cell_length_b 3.717
_cell_length_c 23.260
_cell_angle_alpha 90.00
_cell_angle_beta 90.00
_cell_angle_gamma 90.00
loop_
_atom_site_label
_atom_site_type_symbol
_atom_site_fract_x
_atom_site_fract_y
_atom_site_fract_z
_atom_site_occupancy
Tl1 Tl 0.000 0.000 0.000 1
Tl2 Tl 0.500 0.500 0.500 1
Se1 Se 0.000 0.500 0.250 1
Se2 Se 0.000 0.500 0.750 1
Se3 Se 0.500 0.000 0.250 1
Se4 Se 0.500 0.000 0.750 1
I1 I 0.000 0.000 0.409 1
I2 I 0.000 0.000 0.591 1
I3 I 0.500 0.500 0.091 1
I4 I 0.500 0.500 0.909 1
# Fermi-level density of states: 8.7 states/eV/cell
# Theoretical density: 6.37 Mg/m³
# Crystal system: tetragonal
# SG: No. 139
# Energy relative to the elements, uncorrected: 0.02 eV per formula unit

---

9.
# LiMnPO4 meta-GGA SCAN PBEsol geometry
data_LiMnPO4
_space_group_name_H-M_alt 'P 1'
_space_group_IT_number 1
_space_group_name_Hall 'P 1'
_cell_length_a 5.155
_cell_length_b 5.155
_cell_length_c 9.536
_cell_angle_alpha 90.00
_cell_angle_beta 90.00
_cell_angle_gamma 120.00
loop_
_atom_site_label
_atom_site_type_symbol
_atom_site_fract_x
_atom_site_fract_y
_atom_site_fract_z
_atom_site_occupancy
Li1 Li 0.000 0.000 0.000 1
Li2 Li 0.000 0.000 0.500 1
Mn1 Mn 0.333 0.667 0.114 1
Mn2 Mn 0.667 0.333 0.614 1
P1 P 0.333 0.667 0.477 1
P2 P 0.667 0.333 0.977 1
O1 O 0.054 0.674 0.533 1
O2 O 0.326 0.380 0.533 1
O3 O 0.333 0.667 0.318 1
O4 O 0.380 0.054 0.033 1
O5 O 0.620 0.946 0.533 1
O6 O 0.667 0.333 0.818 1
O7 O 0.674 0.620 0.033 1
O8 O 0.946 0.326 0.033 1
# Fermi-level density of states: 0.0 states/eV/cell
# Distance to the lowest polymorph of the same formula: 0.0643 eV/atom
# Theoretical density: 2.37 Mg/m³
# Crystal system: hexagonal
# SG: No. 173
# Energy relative to the elements, uncorrected: -16.96 eV per formula unit

---

10.
# Y2InAs meta-GGA SCAN PBEsol geometry
data_Y2InAs
_space_group_name_H-M_alt 'P 1'
_space_group_IT_number 1
_space_group_name_Hall 'P 1'
_cell_length_a 3.933
_cell_length_b 3.933
_cell_length_c 23.452
_cell_angle_alpha 90.00
_cell_angle_beta 90.00
_cell_angle_gamma 120.00
loop_
_atom_site_label
_atom_site_type_symbol
_atom_site_fract_x
_atom_site_fract_y
_atom_site_fract_z
_atom_site_occupancy
Y1 Y 0.000 0.000 0.237 1
Y2 Y 0.000 0.000 0.763 1
Y3 Y 0.333 0.667 0.429 1
Y4 Y 0.333 0.667 0.904 1
Y5 Y 0.667 0.333 0.096 1
Y6 Y 0.667 0.333 0.571 1
In1 In 0.000 0.000 0.000 1
In2 In 0.333 0.667 0.667 1
In3 In 0.667 0.333 0.333 1
As1 As 0.000 0.000 0.500 1
As2 As 0.333 0.667 0.167 1
As3 As 0.667 0.333 0.833 1
# Fermi-level density of states: 5.0 states/eV/cell
# Distance to the lowest polymorph of the same formula: 0.0000 eV/atom
# Theoretical density: 5.83 Mg/m³
# Crystal system: trigonal
# SG: No. 166
# Energy of formation: -1.114 eV/atom

---

- Number 10 is which compound?
  Y2InAs